[1]
Below is crystalline MgCuSb2 at its relaxed geometry, with properties calculated at the PBE level.

raw formation energy: 0.0043 eV per atom
symmetry: R-3m (166)
total DFT energy (no corrections): -3.480 eV per atom
total magnetic moment: 0.00 μB/f.u.

Cell lengths 7.3679, 7.3679, 7.3679 Å; angles 30.60, 30.60, 30.60 degrees
Positions (direct):
Mg 0.0000 0.0000 0.0000
Cu 0.5000 0.5000 0.5000
Sb 0.2362 0.2362 0.2362
Sb 0.7638 0.7638 0.7638


[2]
Below is crystalline MgCuSb2 at its relaxed geometry, with properties calculated at the PBE level.

raw formation energy: 0.1030 eV per atom
symmetry: C2/m (12)
total DFT energy (no corrections): -3.381 eV per atom
total magnetic moment: 0.00 μB/f.u.

Cell lengths 5.2981, 5.2981, 3.2799 Å; angles 97.49, 97.49, 102.58 degrees
Positions (direct):
Mg 0.0000 0.0000 0.0000
Cu 0.5000 0.5000 0.0000
Sb 0.0000 0.5000 0.5000
Sb 0.5000 0.0000 0.5000


[3]
Below is crystalline MgCuSb2 at its relaxed geometry, with properties calculated at the PBE level.

raw formation energy: -0.0006 eV per atom
symmetry: I-42d (122)
total DFT energy (no corrections): -3.485 eV per atom
total magnetic moment: 0.00 μB/f.u.

Cell lengths 6.3884, 6.3884, 6.3884 Å; angles 101.56, 101.56, 126.82 degrees
Positions (direct):
Mg 0.0000 0.0000 0.0000
Mg 0.7500 0.2500 0.5000
Cu 0.2500 0.7500 0.5000
Cu 0.5000 0.5000 0.0000
Sb 0.1922 0.6250 0.0672
Sb 0.3750 0.4422 0.5672
Sb 0.5578 0.1250 0.9328
Sb 0.8750 0.8078 0.4328